Entry 1:
A relaxed KBaSr2Cu crystal. Source: Alexandria, functional PBE.

Space-group type: No. 123
Energy above the lowest structure with this stoichiometry (meV/atom): 0
ΔE_f (eV/f.u.): 0.114

Geometry as extended XYZ:
```
5
Lattice="6.2684 0.0000 0.0000 0.0000 6.2684 0.0000 0.0000 0.0000 6.4374" Properties=species:S:1:pos:R:3 pbc="T T T"
K 0.0000 0.0000 0.0000
Ba 3.1342 3.1342 0.0000
Sr 0.0000 3.1342 3.2187
Sr 3.1342 0.0000 3.2187
Cu 3.1342 3.1342 3.2187
```

***

Entry 2:
A relaxed TiCuSe2 crystal. Source: Alexandria, functional PBE.

Space-group type: No. 225
Formation energy (no corrections) (eV per atom): -0.27

Geometry as extended XYZ:
```
4
Lattice="0.0000 3.2429 3.2429 3.2429 0.0000 3.2429 3.2429 3.2429 0.0000" Properties=species:S:1:pos:R:3 pbc="T T T"
Ti 0.0000 0.0000 0.0000
Cu 3.2429 3.2429 3.2429
Se 1.6214 1.6214 1.6214
Se 4.8643 4.8643 4.8643
```

***

Entry 3:
A relaxed HgB2AsO6 crystal. Source: Alexandria, functional PBE.

Space-group type: No. 15
Formation energy (no corrections) (eV per atom): -1.41

Geometry as extended XYZ:
```
20
Lattice="5.1782 -5.3670 0.0000 5.1782 5.3670 0.0000 -1.4190 0.0000 4.6747" Properties=species:S:1:pos:R:3 pbc="T T T"
Hg 4.1140 3.2292 3.5060
Hg 4.8235 -3.2292 1.1687
B 1.3765 0.3067 3.8444
B 2.0859 -0.3067 1.5071
B 6.8515 0.3067 3.1676
B 7.5610 -0.3067 0.8303
As 4.8235 1.3709 1.1687
As 4.1140 -1.3709 3.5060
O 3.5379 2.5090 1.6144
O 1.8252 0.0359 0.1558
O 1.1157 -0.0359 2.4932
O 2.5887 0.8828 4.0911
O 6.1091 2.5090 0.7229
O 3.2982 -0.8828 1.7538
O 5.6393 0.8828 2.9209
O 2.8284 -2.5090 3.9518
O 6.3488 -0.8828 0.5836
O 7.8218 0.0359 2.1815
O 7.1123 -0.0359 4.5189
O 5.3996 -2.5090 3.0603
```

***

Entry 4:
A relaxed CaAs2SeBr crystal. Source: Alexandria, functional PBE.

Space-group type: No. 123
Energy above the lowest structure with this stoichiometry (meV/atom): 558
Formation energy (no corrections) (eV per atom): 0.56

Geometry as extended XYZ:
```
5
Lattice="5.5901 0.0000 0.0000 0.0000 5.5901 0.0000 0.0000 0.0000 5.2663" Properties=species:S:1:pos:R:3 pbc="T T T"
Ca 0.0000 0.0000 0.0000
As 0.0000 2.7950 0.0000
As 2.7950 0.0000 0.0000
Se 0.0000 0.0000 2.6331
Br 2.7950 2.7950 2.6331
```

***

Entry 5:
A relaxed PmNdDy2Mg crystal. Source: Alexandria, functional PBE.

Space-group type: No. 12
ΔE_f (eV/f.u.): 0.131

Geometry as extended XYZ:
```
10
Lattice="5.6000 -2.4842 0.0000 5.6000 2.4842 0.0000 -0.0105 0.0000 11.2152" Properties=species:S:1:pos:R:3 pbc="T T T"
Pm 2.7643 0.0000 2.7416
Pm 8.4254 0.0000 8.4736
Nd 5.0662 0.0000 7.3100
Nd 6.1234 0.0000 3.9052
Dy 1.7247 0.0000 6.1911
Dy 3.9389 0.0000 10.6829
Dy 7.2507 0.0000 0.5324
Dy 9.4649 0.0000 5.0242
Mg 0.5888 0.0000 9.6482
Mg 10.6009 0.0000 1.5671
```

***

Entry 6:
A relaxed Tl3P crystal. Source: Alexandria, functional PBE.

Space-group type: No. 221
ΔE_f (eV/f.u.): 2.014

Geometry as extended XYZ:
```
4
Lattice="5.7519 0.0000 0.0000 0.0000 5.7519 0.0000 0.0000 0.0000 5.7519" Properties=species:S:1:pos:R:3 pbc="T T T"
Tl 0.0000 0.0000 2.8759
Tl 0.0000 2.8759 0.0000
Tl 2.8759 0.0000 0.0000
P 0.0000 0.0000 0.0000
```

***

Entry 7:
A relaxed Tb3Sm4Ru4 crystal. Source: Alexandria, functional PBE.

Space-group type: No. 71
ΔE_f (eV/f.u.): -2.342

Geometry as extended XYZ:
```
11
Lattice="-1.7753 4.4686 8.3437 1.7753 -4.4686 8.3437 1.7753 4.4686 -8.3437" Properties=species:S:1:pos:R:3 pbc="T T T"
Tb 0.0000 0.0000 0.0000
Tb 1.7753 0.0000 6.7612
Tb 0.0000 4.4686 1.5825
Sm 1.7753 1.7090 -2.7388
Sm 1.7753 1.7090 2.7388
Sm 0.0000 2.7596 5.6049
Sm 0.0000 2.7596 11.0825
Ru 0.0000 0.0000 4.3950
Ru 1.7753 2.4430 0.0000
Ru 0.0000 2.0256 8.3437
Ru 0.0000 0.0000 12.2924
```

***

Entry 8:
A relaxed Si2AgOs crystal. Source: Alexandria, functional PBE.

Space-group type: No. 166
Energy above the lowest structure with this stoichiometry (meV/atom): 30
Formation energy (no corrections) (eV per atom): 0.06

Geometry as extended XYZ:
```
4
Lattice="1.4812 0.8551 8.0824 -1.4812 0.8551 8.0824 0.0000 -1.7103 8.0824" Properties=species:S:1:pos:R:3 pbc="T T T"
Si 0.0000 0.0000 5.8374
Si 0.0000 0.0000 18.4098
Ag 0.0000 0.0000 0.0000
Os 0.0000 0.0000 12.1236
```

***

Entry 9:
A relaxed Ca2HfZrFe crystal. Source: Alexandria, functional PBE.

Space-group type: No. 123
ΔE_f (eV/f.u.): 8.757

Geometry as extended XYZ:
```
5
Lattice="5.5023 0.0000 0.0000 0.0000 5.5023 0.0000 0.0000 0.0000 5.1044" Properties=species:S:1:pos:R:3 pbc="T T T"
Ca 0.0000 2.7511 0.0000
Ca 2.7511 0.0000 0.0000
Hf 0.0000 0.0000 2.5522
Zr 0.0000 0.0000 0.0000
Fe 2.7511 2.7511 2.5522
```

***

Entry 10:
A relaxed Sc8P3CS3 crystal. Source: Alexandria, functional PBE.

Space-group type: No. 166
Formation energy (no corrections) (eV per atom): -1.47

Geometry as extended XYZ:
```
15
Lattice="3.6829 2.1263 6.0157 -3.6829 2.1263 6.0157 0.0000 -4.2527 6.0157" Properties=species:S:1:pos:R:3 pbc="T T T"
Sc 0.0000 0.0000 4.4527
Sc -1.6645 -0.9610 10.3555
Sc 0.0000 -1.9220 7.6915
Sc -1.6645 0.9610 7.6915
Sc 1.6645 -0.9610 10.3555
Sc 0.0000 1.9220 10.3555
Sc 1.6645 0.9610 7.6915
Sc 0.0000 0.0000 13.5943
P -3.6829 0.0000 9.0235
P -1.8415 1.0632 3.0078
P 1.8415 1.0632 3.0078
C 0.0000 0.0000 9.0235
S -1.8415 -1.0632 6.0157
S -1.8415 1.0632 12.0313
S 0.0000 2.1263 6.0157
```

***

Number 1: E -2.07 eV/atom. Number 2: E -5.01 eV/atom. Number 3: E -6.22 eV/atom. Number 4: E -2.73 eV/atom. Number 5: E -4.04 eV/atom. Number 6: E -2.62 eV/atom. Number 7: E -6.56 eV/atom. Number 8: E -6.17 eV/atom. Number 9: E -4.44 eV/atom. Number 10: E -7.37 eV/atom.